Entry 1:
## Te2POs (PBE)

Data for Te2POs after structural relaxation.

For the formation energy from raw total energies, the calculation gives 0.10 eV/atom. Its space group is Cm (8). Its total energy is -5.6338 eV per atom.

Unit cell a=4.269 b=4.269 c=7.610 alpha=72.75 beta=72.75 gamma=51.66
Fractional coordinates of all 4 atoms:
Te  0.034  0.034  0.092
Te  0.852  0.852  0.659
P  0.154  0.154  0.375
Os  0.459  0.459  0.375

---

Entry 2:
## NaRePd (PBE)

Data for NaRePd after structural relaxation.

As for the energy of formation from the pure elements: 0.277 eV/atom. Its space group is P-1 (2). Its total energy is -6.0432 eV per atom.

Unit cell a=6.329 b=2.692 c=6.342 alpha=94.49 beta=82.11 gamma=94.50
Fractional coordinates of all 6 atoms:
Re  0.378  0.062  0.877
Re  0.622  0.938  0.123
Pd  0.000  0.500  0.000
Pd  0.500  0.500  0.500
Na  0.165  0.003  0.334
Na  0.835  0.997  0.666

---

Entry 3:
## K2InAuF6 (PBE)

Data for K2InAuF6 after structural relaxation.

For the formation energy from raw total energies, the calculation gives -2.16 eV/atom. Its space group is Fm-3m (225). Its total energy is -4.1066 eV per atom.

Unit cell a=6.434 b=6.434 c=6.434 alpha=60.00 beta=60.00 gamma=60.00
Fractional coordinates of all 10 atoms:
K  0.750  0.750  0.750
K  0.250  0.250  0.250
In  0.000  0.000  0.000
Au  0.500  0.500  0.500
F  0.231  0.769  0.231
F  0.769  0.231  0.231
F  0.769  0.231  0.769
F  0.231  0.231  0.769
F  0.769  0.769  0.231
F  0.231  0.769  0.769

---

Entry 4:
## Ti2Cu3Pd4 (PBE)

Data for Ti2Cu3Pd4 after structural relaxation.

As for the energy of formation from the pure elements: -0.427 eV/atom. Its space group is C2/m (12). Its total energy is -5.8551 eV per atom.

Unit cell a=3.858 b=4.663 c=8.163 alpha=75.32 beta=90.02 gamma=65.63
Fractional coordinates of all 9 atoms:
Ti  0.329  0.343  0.774
Ti  0.671  0.657  0.226
Cu  0.336  0.327  0.449
Cu  0.000  0.000  0.000
Cu  0.664  0.673  0.551
Pd  0.664  0.672  0.889
Pd  0.011  0.978  0.334
Pd  0.989  0.022  0.666
Pd  0.336  0.328  0.111

---

Entry 5:
## La5Nd2Er12 (PBE)

Data for La5Nd2Er12 after structural relaxation.

As for the energy of formation from the pure elements: 0.030 eV/atom. Its space group is P-1 (2). Its total energy is -4.6501 eV per atom.

Unit cell a=6.213 b=10.732 c=12.918 alpha=133.54 beta=94.63 gamma=84.40
Fractional coordinates of all 19 atoms:
La  0.263  0.475  0.553
La  0.156  0.686  0.133
La  0.000  0.000  0.500
La  0.844  0.314  0.867
La  0.737  0.525  0.447
Nd  0.580  0.845  0.818
Nd  0.420  0.155  0.182
Er  0.944  0.103  0.287
Er  0.103  0.790  0.921
Er  0.632  0.737  0.025
Er  0.213  0.579  0.340
Er  0.683  0.632  0.236
Er  0.525  0.949  0.606
Er  0.475  0.051  0.394
Er  0.787  0.421  0.660
Er  0.317  0.368  0.764
Er  0.897  0.210  0.079
Er  0.368  0.263  0.975
Er  0.056  0.897  0.713

---

Entry 6:
## Tc2B2N (PBE)

Data for Tc2B2N after structural relaxation.

For the formation energy from raw total energies, the calculation gives 0.12 eV/atom. Its space group is P4/mbm (127). Its total energy is -8.3626 eV per atom.

Unit cell a=5.679 b=5.679 c=3.045 alpha=90.00 beta=90.00 gamma=90.00
Fractional coordinates of all 10 atoms:
B  0.106  0.606  0.500
B  0.606  0.894  0.500
B  0.894  0.394  0.500
B  0.394  0.106  0.500
Tc  0.317  0.817  0.000
Tc  0.817  0.683  0.000
Tc  0.683  0.183  0.000
Tc  0.183  0.317  0.000
N  0.000  0.000  0.000
N  0.500  0.500  0.000